The following is a DFT calculation (PBE-GGA) of an optimized crystal structure of ErThTePt.

a = 7.8967 Å, b = 7.8967 Å, c = 7.8967 Å
α = 30.79°, β = 30.79°, γ = 30.79°
Closest atoms and distances in Å follow each position.
Fractional positions:
Er 0.0000 0.0000 0.0000  3 Pt 2.87
Th 0.1946 0.1946 0.1946  3 Pt 2.89
Te 0.7617 0.7617 0.7617  3 Er 3.23, 3 Th 3.30
Pt 0.5979 0.5979 0.5979  3 Er 2.87, 3 Th 2.89

## Properties
**Space group**: R3m, No. 160
**Density**: 10.5 Mg/m³
**VASP energy**: -25.956 eV for the cell shown
**Formation energy from raw total energies**: -1.198 eV per atom
**Calculated volume**: 114.4 Å³/cell